Entry from Alexandria via LeMat-Bulk: crystalline HoTm2Cd4 at its relaxed geometry (GGA-PBE).

a = 7.8156 Å, b = 7.8156 Å, c = 7.8156 Å
α = 140.59°, β = 140.59°, γ = 56.96°
Positions (direct):
1 Ho 0.0000 0.0000 0.0000
2 Tm 0.2568 0.2568 0.0000
3 Tm 0.7432 0.7432 0.0000
4 Cd 0.1165 0.6165 0.5000
5 Cd 0.3835 0.8835 0.5000
6 Cd 0.6165 0.1165 0.5000
7 Cd 0.8835 0.3835 0.5000

Calculated values
For the mass density, the calculation gives 8.3 g/cm³. Its formation enthalpy at 0 K is -0.145 eV per atom. The magnetic moment comes out at 0.0 Bohr magnetons per cell. Its density of states at the Fermi level is 4.2 states/eV per cell.